Record 1
DFT (PBE) results for a relaxed structure of YPbAu.

a b c (Å): 4.790 4.790 7.214
angles (deg): 90.00 90.00 90.00
Positions (direct):
Y (0.250, 0.750, 0.000)
Y (0.750, 0.250, 0.000)
Pb (0.250, 0.250, 0.364)
Pb (0.750, 0.750, 0.636)
Au (0.250, 0.250, 0.762)
Au (0.750, 0.750, 0.238)

Computed properties:
Density of states at the Fermi level ... 4.734 states/eV per cell
Energy of formation ... -411 meV per atom

Record 2
DFT (PBE) results for a relaxed structure of Nd4HoTm3.

a b c (Å): 11.502 7.310 6.285
angles (deg): 90.00 90.00 90.00
Positions (direct):
Nd (0.000, 0.129, 0.000)
Nd (0.000, 0.870, 0.507)
Nd (0.248, 0.128, 0.341)
Nd (0.252, 0.872, 0.841)
Nd (0.500, 0.130, 0.007)
Nd (0.500, 0.871, 0.500)
Nd (0.748, 0.872, 0.841)
Nd (0.752, 0.128, 0.341)
Ho (0.000, 0.622, 0.008)
Ho (0.500, 0.378, 0.508)
Tm (0.000, 0.382, 0.505)
Tm (0.250, 0.380, 0.839)
Tm (0.250, 0.620, 0.339)
Tm (0.500, 0.618, 0.005)
Tm (0.750, 0.380, 0.839)
Tm (0.750, 0.620, 0.339)

Computed properties:
Density of states at the Fermi level ... 29.732 states/eV per cell
Energy of formation ... 28 meV per atom

Record 3
DFT (PBE) results for a relaxed structure of Ho6Tl2Cd.

a b c (Å): 8.920 8.920 5.144
angles (deg): 106.71 106.71 48.09
Positions (direct):
Ho (0.082, 0.588, 0.335)
Ho (0.244, 0.756, 0.000)
Ho (0.412, 0.918, 0.665)
Ho (0.588, 0.082, 0.335)
Ho (0.756, 0.244, 0.000)
Ho (0.918, 0.412, 0.665)
Tl (0.333, 0.333, 0.833)
Tl (0.667, 0.667, 0.167)
Cd (0.000, 0.000, 0.500)

Computed properties:
Density of states at the Fermi level ... 12.459 states/eV per cell
Energy of formation ... 17 meV per atom

Record 4
DFT (PBE) results for a relaxed structure of PrSi2Tc2C.

a b c (Å): 4.168 4.168 5.380
angles (deg): 90.00 90.00 90.00
Positions (direct):
Pr (0.000, 0.000, 0.000)
Si (0.500, 0.500, 0.225)
Si (0.500, 0.500, 0.775)
Tc (0.000, 0.500, 0.500)
Tc (0.500, 0.000, 0.500)
C (0.000, 0.000, 0.500)

Computed properties:
Density of states at the Fermi level ... 4.488 states/eV per cell
Energy relative to the elements, uncorrected ... -2.90 eV/f.u.

Energy (eV/atom)
-4.894; -4.605; -3.662; -8.080